{
  "formula": "Zr2AlFe",
  "functional": "PBE-GGA",
  "state": "optimized geometry",
  "dft_energy_ev_per_atom": -7.53,
  "formation_energy_ev_per_fu": -0.82,
  "dos_ef_per_ev_atom": 1.265,
  "space_group": "P4mm (99)",
  "lattice_angstrom": [[3.124, 0.000, 0.000], [0.000, 3.124, 0.000], [0.000, 0.000, 7.233]],
  "species": ["Zr", "Zr", "Fe", "Al"],
  "frac_coords": [[0.000, 0.000, 0.951], [0.500, 0.500, 0.264], [0.500, 0.500, 0.733], [0.000, 0.000, 0.552]]
}

***

{
  "formula": "ZrAl2Fe",
  "functional": "PBE-GGA",
  "state": "optimized geometry",
  "dft_energy_ev_per_atom": -6.09,
  "formation_energy_ev_per_fu": 0.15,
  "dos_ef_per_ev_atom": 0.873,
  "space_group": "R3m (160)",
  "lattice_angstrom": [[9.404, 0.171, 0.101], [8.908, 3.019, 0.101], [8.908, 1.552, 2.592]],
  "species": ["Al", "Al", "Fe", "Zr"],
  "frac_coords": [[0.995, 0.995, 0.995], [0.245, 0.245, 0.245], [0.507, 0.507, 0.507], [0.753, 0.753, 0.753]]
}

***

{
  "formula": "ZrAl2Fe",
  "functional": "PBE-GGA",
  "state": "optimized geometry",
  "dft_energy_ev_per_atom": -6.34,
  "formation_energy_ev_per_fu": -0.88,
  "dos_ef_per_ev_atom": 0.599,
  "space_group": "Immm (71)",
  "lattice_angstrom": [[-0.637, -3.373, 4.078], [-0.531, -5.186, -1.112], [3.120, 4.302, -0.422]],
  "species": ["Fe", "Al", "Al", "Zr"],
  "frac_coords": [[0.750, 0.250, 0.500], [0.527, 0.527, 0.000], [0.973, 0.973, 0.000], [0.250, 0.750, 0.500]]
}

***

{
  "formula": "Zr2AlFe",
  "functional": "PBE-GGA",
  "state": "optimized geometry",
  "dft_energy_ev_per_atom": -7.55,
  "formation_energy_ev_per_fu": -0.89,
  "dos_ef_per_ev_atom": 0.755,
  "space_group": "Imm2 (44)",
  "lattice_angstrom": [[-0.864, 5.248, -1.800], [-1.994, 0.898, -5.172], [-0.824, -2.384, 5.017]],
  "species": ["Zr", "Al", "Fe", "Zr"],
  "frac_coords": [[0.036, 0.036, 0.000], [0.457, 0.457, 0.000], [0.254, 0.754, 0.500], [0.753, 0.253, 0.500]]
}

***

{
  "formula": "Zr4AlFe",
  "functional": "PBE-GGA",
  "state": "optimized geometry",
  "dft_energy_ev_per_atom": -7.95,
  "formation_energy_ev_per_fu": -1.29,
  "dos_ef_per_ev_atom": 1.512,
  "space_group": "P4/mcc (124)",
  "e_above_lowest_polymorph_kcal_per_mol_atoms": 0.00,
  "lattice_angstrom": [[5.540, 0.000, 0.000], [0.000, 6.589, 0.000], [0.000, 0.000, 6.589]],
  "species": ["Zr", "Zr", "Fe", "Zr", "Zr", "Zr", "Zr", "Al", "Al", "Fe", "Zr", "Zr"],
  "frac_coords": [[0.000, 0.648, 0.818], [0.500, 0.182, 0.352], [0.250, 0.500, 0.500], [0.000, 0.182, 0.648], [0.500, 0.648, 0.182], [0.000, 0.818, 0.352], [0.500, 0.818, 0.648], [0.750, 0.000, 0.000], [0.250, 0.000, 0.000], [0.750, 0.500, 0.500], [0.500, 0.352, 0.818], [0.000, 0.352, 0.182]]
}

***

{
  "formula": "Zr6Al2Fe",
  "functional": "PBE-GGA",
  "state": "optimized geometry",
  "dft_energy_ev_per_atom": -7.78,
  "formation_energy_ev_per_fu": -2.77,
  "dos_ef_per_ev_atom": 0.892,
  "space_group": "P-62m (189)",
  "lattice_angstrom": [[-6.341, -0.379, 4.812], [7.258, -1.669, 2.835], [0.419, 3.186, 0.803]],
  "species": ["Zr", "Zr", "Zr", "Zr", "Al", "Fe", "Al", "Zr", "Zr"],
  "frac_coords": [[0.250, 0.000, 0.500], [0.000, 0.250, 0.500], [0.399, 0.399, 0.000], [0.750, 0.750, 0.500], [0.667, 0.333, 0.500], [0.000, 0.000, 0.000], [0.333, 0.667, 0.500], [0.601, 0.000, 0.000], [0.000, 0.601, 0.000]]
}